Entry 1:
# TlCd2P (PBE, relaxed)
# ΔH_f (0 K): 150 meV/atom
# DOS(E_F): 1.26 states/eV/f.u.
# Density: 7.44 g/cm3
data_TlCd2P
_chemical_formula_sum 'Tl4 Cd8 P4'
_symmetry_space_group_name_H-M 'I -4 2 d'
_symmetry_Int_Tables_number 122
_symmetry_space_group_name_Hall 'I -4 2bw'
_cell_length_a 7.836
_cell_length_b 7.836
_cell_length_c 6.687
_cell_angle_alpha 90.00
_cell_angle_beta 90.00
_cell_angle_gamma 90.00
loop_
_atom_site_label
_atom_site_fract_x
_atom_site_fract_y
_atom_site_fract_z
Tl1 0.000 0.000 0.000
Cd1 0.189 0.250 0.625
P1 0.000 0.000 0.500

Entry 2:
# TlCd2P (PBE, relaxed)
# ΔH_f (0 K): 288 meV/atom
# DOS(E_F): 1.91 states/eV/f.u.
# Density: 8.24 g/cm3
data_TlCd2P
_chemical_formula_sum 'Tl2 Cd4 P2'
_symmetry_space_group_name_H-M 'I -4 m 2'
_symmetry_Int_Tables_number 119
_symmetry_space_group_name_Hall 'I -4 -2'
_cell_length_a 4.255
_cell_length_b 4.255
_cell_length_c 10.246
_cell_angle_alpha 90.00
_cell_angle_beta 90.00
_cell_angle_gamma 90.00
loop_
_atom_site_label
_atom_site_fract_x
_atom_site_fract_y
_atom_site_fract_z
Tl1 0.000 0.000 0.000
Cd1 0.000 0.000 0.500
Cd2 0.000 0.500 0.750
P1 0.000 0.500 0.250

Entry 3:
# TlCdP2 (PBE, relaxed)
# ΔH_f (0 K): 593 meV/atom
# DOS(E_F): 2.70 states/eV/f.u.
# Density: 7.47 g/cm3
# Polymorph energy (0 for the lowest one): 452 meV per atom
data_TlCdP2
_chemical_formula_sum 'Tl4 Cd4 P8'
_symmetry_space_group_name_H-M 'F m -3 m'
_symmetry_Int_Tables_number 225
_symmetry_space_group_name_Hall '-F 4 2 3'
_cell_length_a 6.959
_cell_length_b 6.959
_cell_length_c 6.959
_cell_angle_alpha 90.00
_cell_angle_beta 90.00
_cell_angle_gamma 90.00
loop_
_atom_site_label
_atom_site_fract_x
_atom_site_fract_y
_atom_site_fract_z
Tl1 0.000 0.000 0.000
Cd1 0.000 0.000 0.500
P1 0.250 0.250 0.250

Entry 4:
# TlCd2P (PBE, relaxed)
# ΔH_f (0 K): 323 meV/atom
# DOS(E_F): 2.24 states/eV/f.u.
# Density: 8.20 g/cm3
data_TlCd2P
_chemical_formula_sum 'Tl3 Cd6 P3'
_symmetry_space_group_name_H-M 'R 3 m'
_symmetry_Int_Tables_number 160
_symmetry_space_group_name_Hall 'R 3 -2"'
_cell_length_a 3.1886
_cell_length_b 3.1886
_cell_length_c 31.7538
_cell_angle_alpha 90.00
_cell_angle_beta 90.00
_cell_angle_gamma 120.00
loop_
_atom_site_label
_atom_site_fract_x
_atom_site_fract_y
_atom_site_fract_z
Tl1 0.0000 0.0000 0.0000
Cd1 0.0000 0.0000 0.2389
Cd2 0.0000 0.0000 0.4872
P1 0.0000 0.0000 0.7517